Compound: InTcAgTe2S
Source: OQMD
Functional: PBE
Structure: optimized geometry

Cell: 7.4737 7.4737 9.9377 Å, 90.00 90.00 149.18°
Closest atoms and distances in Å follow each position.
Positions (direct):
In1 0.2339 0.7661 0.7500  2 S 3.00, 2 Te 3.16
In2 0.7661 0.2339 0.2500  2 S 3.00, 2 Te 3.16
Tc1 0.5000 0.5000 0.0000  2 S 2.72, 4 Te 2.82
Tc2 0.5000 0.5000 0.5000  2 S 2.72, 4 Te 2.82
Ag1 0.0227 0.9773 0.2500  2 S 2.46, 2 Te 2.69
Ag2 0.9773 0.0227 0.7500  2 S 2.46, 2 Te 2.69
Te1 0.1364 0.8636 0.0351  1 Ag 2.69, 2 Tc 2.82
Te2 0.1364 0.8636 0.4649  1 Ag 2.69, 2 Tc 2.82
Te3 0.8636 0.1364 0.5351  1 Ag 2.69, 2 Tc 2.82
Te4 0.8636 0.1364 0.9649  1 Ag 2.69, 2 Tc 2.82
S1 0.4223 0.5777 0.2500  2 Ag 2.46, 2 Tc 2.72
S2 0.5777 0.4223 0.7500  2 Ag 2.46, 2 Tc 2.72

space group = No. 63
total DFT energy (no corrections) = -4.33 eV/atom

=====

Compound: In2Ag2Te3S
Source: OQMD
Functional: PBE
Structure: optimized geometry

Cell: 7.6996 7.6996 6.3949 Å, 113.52 113.52 49.48°
Closest atoms and distances in Å follow each position.
Positions (direct):
In1 0.1207 0.1207 0.3852  1 S 2.56, 3 Te 2.83-2.86
In2 0.8793 0.8793 0.6148  1 S 2.56, 3 Te 2.83-2.86
Ag1 0.3483 0.4244 0.1570  1 S 2.58, 3 Te 2.81-2.84
Ag2 0.5756 0.6517 0.8430  1 S 2.58, 3 Te 2.81-2.84
Te1 0.4881 0.0133 0.2397  2 Ag 2.81-2.82, 2 In 2.83-2.84
Te2 0.7362 0.2638 0.0000  2 Ag 2.84, 2 In 2.86
Te3 0.9867 0.5119 0.7603  2 Ag 2.81-2.82, 2 In 2.83-2.84
S1 0.2225 0.7775 0.5000  2 In 2.56, 2 Ag 2.58

space group = No. 5
total DFT energy (no corrections) = -3.40 eV/atom

=====

Compound: InAgTeWS2
Source: OQMD
Functional: PBE
Structure: optimized geometry

Cell: 8.3145 8.3145 10.4771 Å, 90.00 90.00 156.50°
Closest atoms and distances in Å follow each position.
Positions (direct):
In1 0.1931 0.8069 0.7500  2 Ag 2.84, 2 Te 3.04
In2 0.8069 0.1931 0.2500  2 Ag 2.84, 2 Te 3.04
Ag1 0.1666 0.8334 0.2500  2 S 2.56, 2 In 2.84
Ag2 0.8334 0.1666 0.7500  2 S 2.56, 2 In 2.84
Te1 0.4622 0.5378 0.2500  2 W 2.69
Te2 0.5378 0.4622 0.7500  2 W 2.69
W1 0.5000 0.5000 0.0000  4 S 2.44, 2 Te 2.69
W2 0.5000 0.5000 0.5000  4 S 2.44, 2 Te 2.69
S1 0.1068 0.8932 0.0239  2 W 2.44, 1 Ag 2.56
S2 0.1068 0.8932 0.4761  2 W 2.44, 1 Ag 2.56
S3 0.8932 0.1068 0.5239  2 W 2.44, 1 Ag 2.56
S4 0.8932 0.1068 0.9761  2 W 2.44, 1 Ag 2.56

space group = No. 63
total DFT energy (no corrections) = -5.08 eV/atom

=====

Which formula does entry 3 have? InAgTeWS2

=====

What is the formula in the third record? InAgTeWS2

=====

The lowest total DFT energy (no corrections) belongs to which entry? InAgTeWS2